[1]
In2TePb | PBE-GGA | relaxed

As for the energy above the most stable polymorph in this dataset: 0.0282 eV/atom. The formation energy from raw total energies is -0.057 eV/atom. The total magnetic moment comes out at 0.000 μB per atom. The calculation puts the density at 7.75 g/cm³.

Cell and atoms, written as extended XYZ:
```
4
Lattice="4.180 0.000 0.000 0.000 4.180 0.000 0.000 0.000 6.922" Properties=species:S:1:pos:R:3 pbc="T T T"
In 0.000 0.000 0.000
In 2.090 2.090 1.615
Te 2.090 2.090 5.143
Pb 0.000 0.000 3.551
```

[2]
KCr2As | PBE-GGA | relaxed

The total energy comes out at -5.70 eV/atom. The total magnetic moment comes out at 2.140 μB per atom. The calculation puts the density at 3.41 g/cm³.

Cell and atoms, written as extended XYZ:
```
8
Lattice="3.402 0.000 0.000 0.000 3.839 0.000 0.000 0.000 16.250" Properties=species:S:1:pos:R:3 pbc="T T T"
K 0.000 0.000 0.000
K 1.701 1.920 8.125
Cr 0.000 0.000 5.359
Cr 0.000 1.920 3.042
Cr 1.701 0.000 11.167
Cr 1.701 1.920 13.484
As 0.000 1.920 11.481
As 1.701 0.000 3.356
```

[3]
AcHo2Bi | PBE-GGA | relaxed

As for the energy above the most stable polymorph in this dataset: 0.1282 eV/atom. The total magnetic moment comes out at 0.000 μB per atom. The calculation puts the density at 8.83 g/cm³.

Cell and atoms, written as extended XYZ:
```
12
Lattice="4.087 0.000 0.000 -2.044 3.540 0.000 0.000 0.000 29.872" Properties=species:S:1:pos:R:3 pbc="T T T"
Ac 0.000 0.000 0.000
Ac 0.000 2.360 19.915
Ac 2.044 1.180 9.957
Ho 0.000 0.000 6.953
Ho 0.000 0.000 22.919
Ho 0.000 2.360 12.962
Ho 0.000 2.360 26.868
Ho 2.044 1.180 3.004
Ho 2.044 1.180 16.911
Bi 0.000 0.000 14.936
Bi 0.000 2.360 4.979
Bi 2.044 1.180 24.894
```

[4]
AgHSCl2 | PBE-GGA | relaxed

As for the energy above the most stable polymorph in this dataset: 0.0000 eV/atom. The total magnetic moment comes out at 0.221 μB per atom. The calculation puts the density at 4.06 g/cm³.

Cell and atoms, written as extended XYZ:
```
5
Lattice="5.169 0.000 0.000 0.000 5.169 0.000 0.000 0.000 3.242" Properties=species:S:1:pos:R:3 pbc="T T T"
Ag 0.000 0.000 0.000
H 2.584 2.584 1.621
S 2.584 2.584 0.000
Cl 0.000 2.584 1.621
Cl 2.584 0.000 1.621
```

[5]
KInTe2 | PBE-GGA | relaxed

The formation energy from raw total energies is -0.169 eV/atom. The total magnetic moment comes out at 0.000 μB per atom. The calculation puts the density at 5.15 g/cm³.

Cell and atoms, written as extended XYZ:
```
16
Lattice="8.080 0.000 0.000 0.000 8.080 0.000 0.000 0.000 8.080" Properties=species:S:1:pos:R:3 pbc="T T T"
K 0.000 0.000 0.000
K 0.000 4.040 4.040
K 4.040 0.000 4.040
K 4.040 4.040 0.000
In 2.020 2.020 6.060
In 2.020 6.060 2.020
In 6.060 2.020 2.020
In 6.060 6.060 6.060
Te 0.000 0.000 4.040
Te 0.000 4.040 0.000
Te 2.020 2.020 2.020
Te 2.020 6.060 6.060
Te 4.040 0.000 0.000
Te 4.040 4.040 4.040
Te 6.060 2.020 6.060
Te 6.060 6.060 2.020
```

[6]
CeSc2F8 | PBE-GGA | relaxed

The formation energy from raw total energies is -3.696 eV/atom. The total magnetic moment comes out at 0.186 μB per atom. The calculation puts the density at 4.32 g/cm³.

Cell and atoms, written as extended XYZ:
```
11
Lattice="6.073 -2.442 0.000 6.073 2.442 0.000 -1.174 0.000 4.955" Properties=species:S:1:pos:R:3 pbc="T T T"
Ce 0.000 0.000 0.000
Sc 3.129 0.000 1.544
Sc 7.843 0.000 3.412
F 3.551 1.249 3.158
F 1.271 0.000 4.461
F 7.421 1.249 1.797
F 5.013 0.000 0.870
F 5.959 0.000 4.085
F 3.551 -1.249 3.158
F 9.701 0.000 0.494
F 7.421 -1.249 1.797
```

[7]
Y2Ho2Tl7 | PBE-GGA | relaxed

The total energy comes out at -3.62 eV/atom. The total magnetic moment comes out at 0.000 μB per atom. The calculation puts the density at 10.03 g/cm³.

Cell and atoms, written as extended XYZ:
```
11
Lattice="5.818 -5.385 0.000 5.818 5.385 0.000 -0.853 0.000 5.124" Properties=species:S:1:pos:R:3 pbc="T T T"
Y 5.818 3.173 0.000
Y 5.818 -3.173 0.000
Ho 2.903 0.000 1.055
Ho 7.880 0.000 4.069
Tl -0.426 0.000 2.562
Tl 1.877 1.968 3.680
Tl 1.877 -1.968 3.680
Tl 4.432 0.000 3.756
Tl 6.351 0.000 1.367
Tl 8.905 1.968 1.444
Tl 8.905 -1.968 1.444
```